No. 1
The following is a PBE calculation of a relaxed InHgOs2 crystal, from Alexandria.

Summary:
DOS at the Fermi energy = 4.223 states/eV/f.u.
excess energy over the best structure of this formula in the dataset = 2.22 eV/f.u.
formation energy from the elements = 86.4 kJ per mole of atoms
mass density = 16.5 g/cm3

Structure (extended XYZ):
```
4
Lattice="1.481 -2.493 0.000 1.481 2.493 0.000 0.000 0.000 9.484" Properties=species:S:1:pos:R:3 pbc="T T T"
In 0.000 0.000 0.000
Hg 0.000 0.000 4.742
Os 1.481 0.000 2.300
Os 1.481 0.000 7.184
```

***

No. 2
The following is a PBE calculation of a relaxed SrLi2AlZn crystal, from Alexandria.

Summary:
DOS at the Fermi energy = 2.772 states/eV/f.u.
excess energy over the best structure of this formula in the dataset = 0.00 eV/f.u.
formation energy from the elements = -3.1 kJ per mole of atoms
mass density = 2.7 g/cm3

Structure (extended XYZ):
```
5
Lattice="5.016 0.000 0.000 0.000 5.016 0.000 0.000 0.000 4.789" Properties=species:S:1:pos:R:3 pbc="T T T"
Sr 0.000 0.000 0.000
Li 0.000 2.508 2.395
Li 2.508 0.000 2.395
Al 2.508 2.508 0.000
Zn 2.508 2.508 2.395
```